Here is a geometry-optimized BPPdO structure from OQMD. Energies are from PBE.

Values from the calculation:
total DFT energy (no corrections)	-6.27	eV/atom

a b c (Å): 2.601 6.468 5.755
angles (deg): 90.00 90.00 90.00
Fractional positions:
1 B 0.000 0.122 0.000
2 B 0.000 0.878 0.500
3 P 0.000 0.158 0.350
4 P 0.000 0.842 0.850
5 Pd 0.500 0.442 0.421
6 Pd 0.500 0.558 0.921
7 O 0.500 0.214 0.916
8 O 0.500 0.786 0.416